[1]
# Na2Cd3SnO6 PBE-GGA relaxed
data_Na2Cd3SnO6
_chemical_formula_sum 'Na4 Cd6 Sn2 O12'
_symmetry_space_group_name_H-M 'C 1 2/m 1'
_symmetry_Int_Tables_number 12
_cell_length_a 5.866
_cell_length_b 10.053
_cell_length_c 5.732
_cell_angle_alpha 90.00
_cell_angle_beta 110.65
_cell_angle_gamma 90.00
loop_
_symmetry_equiv_pos_as_xyz
'x,y,z'
'-x,-y,-z'
'-x,y,-z'
'x,-y,z'
'x+1/2,y+1/2,z'
'-x+1/2,-y+1/2,-z'
'-x+1/2,y+1/2,-z'
'x+1/2,-y+1/2,z'
loop_
_atom_site_label
_atom_site_type_symbol
_atom_site_fract_x
_atom_site_fract_y
_atom_site_fract_z
Na1 Na 0.000 0.166 0.000
Cd1 Cd 0.000 0.000 0.500
Cd2 Cd 0.000 0.332 0.500
Sn1 Sn 0.000 0.500 0.000
O1 O 0.216 0.500 0.778
O2 O 0.230 0.350 0.247
# - E_form (uncorrected) (kJ/mol of atoms) = -130
# - calculated volume (Å³ per atom) = 13.18
# - total moment (μB/cell) = 0.00
# - total energy (eV per atom) = -4.6071

[2]
# Ta3BeAg PBE-GGA relaxed
data_Ta3BeAg
_chemical_formula_sum 'Ta3 Be1 Ag1'
_symmetry_space_group_name_H-M 'P m -3 m'
_symmetry_Int_Tables_number 221
_symmetry_space_group_name_Hall '-P 4 2 3'
_cell_length_a 4.419
_cell_length_b 4.419
_cell_length_c 4.419
_cell_angle_alpha 90.00
_cell_angle_beta 90.00
_cell_angle_gamma 90.00
loop_
_atom_site_label
_atom_site_type_symbol
_atom_site_fract_x
_atom_site_fract_y
_atom_site_fract_z
Ta1 Ta 0.000 0.000 0.500
Be1 Be 0.000 0.000 0.000
Ag1 Ag 0.500 0.500 0.500
# - D(E_F) (states/eV/f.u.) = 7.0
# - calculated volume (Å³ per atom) = 17.26
# - total moment (μB/cell) = 0.00
# - total energy (eV per atom) = -7.7824
# - ΔH_f (0 K) (eV per atom) = 0.645

[3]
# CoAs2Se PBE-GGA relaxed
data_CoAs2Se
_chemical_formula_sum 'Co1 As2 Se1'
_symmetry_space_group_name_H-M 'P m m m'
_symmetry_Int_Tables_number 47
_cell_length_a 3.144
_cell_length_b 4.516
_cell_length_c 4.707
_cell_angle_alpha 90.00
_cell_angle_beta 90.00
_cell_angle_gamma 90.00
loop_
_symmetry_equiv_pos_as_xyz
'x,y,z'
'-x,-y,-z'
'-x,-y,z'
'x,y,-z'
'x,-y,-z'
'-x,y,z'
'-x,y,-z'
'x,-y,z'
loop_
_atom_site_label
_atom_site_type_symbol
_atom_site_fract_x
_atom_site_fract_y
_atom_site_fract_z
Co1 Co 0.000 0.000 0.000
As1 As 0.000 0.500 0.500
As2 As 0.500 0.000 0.500
Se1 Se 0.500 0.500 0.000
# - D(E_F) (states/eV/f.u.) = 3.6
# - E_form (uncorrected) (kJ/mol of atoms) = 48
# - calculated volume (Å³ per atom) = 16.71
# - total moment (μB/cell) = 0.76
# - total energy (eV per atom) = -4.4760

[4]
# K3Er3HfSe8 PBE-GGA relaxed
data_K3Er3HfSe8
_chemical_formula_sum 'K9 Er9 Hf3 Se24'
_symmetry_space_group_name_H-M 'R -3 m'
_symmetry_Int_Tables_number 166
_symmetry_space_group_name_Hall '-R 3 2"'
_cell_length_a 8.1670
_cell_length_b 8.1670
_cell_length_c 23.5166
_cell_angle_alpha 90.00
_cell_angle_beta 90.00
_cell_angle_gamma 120.00
loop_
_atom_site_label
_atom_site_type_symbol
_atom_site_fract_x
_atom_site_fract_y
_atom_site_fract_z
K1 K 0.0000 0.5000 0.0000
Er1 Er 0.0000 0.5000 0.5000
Hf1 Hf 0.0000 0.0000 0.5000
Se1 Se 0.0000 0.0000 0.2344
Se2 Se 0.0149 0.5075 0.2319
# - D(E_F) (states/eV/f.u.) = 0.0
# - E_form (uncorrected) (kJ/mol of atoms) = -162
# - calculated volume (Å³ per atom) = 30.19
# - total moment (μB/cell) = 0.00
# - total energy (eV per atom) = -5.3335

[5]
# AlFe2Ni9 PBE-GGA relaxed
data_AlFe2Ni9
_chemical_formula_sum 'Al1 Fe2 Ni9'
_symmetry_space_group_name_H-M 'P 4/m m m'
_symmetry_Int_Tables_number 123
_symmetry_space_group_name_Hall '-P 4 2'
_cell_length_a 3.553
_cell_length_b 3.553
_cell_length_c 10.626
_cell_angle_alpha 90.00
_cell_angle_beta 90.00
_cell_angle_gamma 90.00
loop_
_atom_site_label
_atom_site_type_symbol
_atom_site_fract_x
_atom_site_fract_y
_atom_site_fract_z
Al1 Al 0.000 0.000 0.000
Fe1 Fe 0.000 0.000 0.333
Ni1 Ni 0.000 0.500 0.170
Ni2 Ni 0.000 0.500 0.500
Ni3 Ni 0.500 0.500 0.000
Ni4 Ni 0.500 0.500 0.334
# - D(E_F) (states/eV/f.u.) = 8.4
# - calculated volume (Å³ per atom) = 11.18
# - total moment (μB/cell) = 10.28
# - total energy (eV per atom) = -6.2633
# - ΔH_f (0 K) (eV per atom) = -0.205

[6]
# TbBi2Pb PBE-GGA relaxed
data_TbBi2Pb
_chemical_formula_sum 'Tb4 Bi8 Pb4'
_symmetry_space_group_name_H-M 'F m -3 m'
_symmetry_Int_Tables_number 225
_symmetry_space_group_name_Hall '-F 4 2 3'
_cell_length_a 7.934
_cell_length_b 7.934
_cell_length_c 7.934
_cell_angle_alpha 90.00
_cell_angle_beta 90.00
_cell_angle_gamma 90.00
loop_
_atom_site_label
_atom_site_type_symbol
_atom_site_fract_x
_atom_site_fract_y
_atom_site_fract_z
Tb1 Tb 0.000 0.000 0.000
Bi1 Bi 0.250 0.250 0.250
Pb1 Pb 0.000 0.000 0.500
# - D(E_F) (states/eV/f.u.) = 1.8
# - calculated volume (Å³ per atom) = 31.22
# - total moment (μB/cell) = 0.00
# - total energy (eV per atom) = -4.2704
# - ΔH_f (0 K) (eV per atom) = -0.245

[7]
# PrPtRh PBE-GGA relaxed
data_PrPtRh
_chemical_formula_sum 'Pr4 Pt4 Rh4'
_symmetry_space_group_name_H-M 'I m m a'
_symmetry_Int_Tables_number 74
_symmetry_space_group_name_Hall '-I 2b 2'
_cell_length_a 5.465
_cell_length_b 5.502
_cell_length_c 7.770
_cell_angle_alpha 90.00
_cell_angle_beta 90.00
_cell_angle_gamma 90.00
loop_
_atom_site_label
_atom_site_type_symbol
_atom_site_fract_x
_atom_site_fract_y
_atom_site_fract_z
Pr1 Pr 0.000 0.250 0.126
Pt1 Pt 0.250 0.250 0.750
Rh1 Rh 0.000 0.000 0.500
# - D(E_F) (states/eV/f.u.) = 2.1
# - calculated volume (Å³ per atom) = 19.47
# - total moment (μB/cell) = 0.00
# - total energy (eV per atom) = -6.9127
# - ΔH_f (0 K) (eV per atom) = -0.855

[8]
# TbAl11Ni PBE-GGA relaxed
data_TbAl11Ni
_chemical_formula_sum 'Tb2 Al22 Ni2'
_symmetry_space_group_name_H-M 'C 1 2/m 1'
_symmetry_Int_Tables_number 12
_cell_length_a 5.141
_cell_length_b 12.540
_cell_length_c 7.199
_cell_angle_alpha 90.00
_cell_angle_beta 108.30
_cell_angle_gamma 90.00
loop_
_symmetry_equiv_pos_as_xyz
'x,y,z'
'-x,-y,-z'
'-x,y,-z'
'x,-y,z'
'x+1/2,y+1/2,z'
'-x+1/2,-y+1/2,-z'
'-x+1/2,y+1/2,-z'
'x+1/2,-y+1/2,z'
loop_
_atom_site_label
_atom_site_type_symbol
_atom_site_fract_x
_atom_site_fract_y
_atom_site_fract_z
Tb1 Tb 0.000 0.000 0.000
Al1 Al 0.000 0.000 0.500
Al2 Al 0.107 0.393 0.229
Al3 Al 0.182 0.174 0.359
Al4 Al 0.250 0.250 0.000
Ni1 Ni 0.000 0.500 0.500
# - D(E_F) (states/eV/f.u.) = 4.9
# - calculated volume (Å³ per atom) = 16.95
# - total moment (μB/cell) = 0.00
# - total energy (eV per atom) = -4.1603
# - ΔH_f (0 K) (eV per atom) = -0.193

[9]
# DyHfAgPt PBE-GGA relaxed
data_DyHfAgPt
_chemical_formula_sum 'Dy4 Hf4 Ag4 Pt4'
_symmetry_space_group_name_H-M 'F -4 3 m'
_symmetry_Int_Tables_number 216
_symmetry_space_group_name_Hall 'F -4 2 3'
_cell_length_a 6.904
_cell_length_b 6.904
_cell_length_c 6.904
_cell_angle_alpha 90.00
_cell_angle_beta 90.00
_cell_angle_gamma 90.00
loop_
_atom_site_label
_atom_site_type_symbol
_atom_site_fract_x
_atom_site_fract_y
_atom_site_fract_z
Dy1 Dy 0.000 0.000 0.000
Hf1 Hf 0.000 0.000 0.500
Ag1 Ag 0.250 0.250 0.250
Pt1 Pt 0.250 0.250 0.750
# - D(E_F) (states/eV/f.u.) = 3.2
# - calculated volume (Å³ per atom) = 20.57
# - total moment (μB/cell) = 0.00
# - total energy (eV per atom) = -6.4188
# - ΔH_f (0 K) (eV per atom) = -0.557

[10]
# ScTiNbOs PBE-GGA relaxed
data_ScTiNbOs
_chemical_formula_sum 'Sc4 Ti4 Nb4 Os4'
_symmetry_space_group_name_H-M 'F -4 3 m'
_symmetry_Int_Tables_number 216
_symmetry_space_group_name_Hall 'F -4 2 3'
_cell_length_a 6.466
_cell_length_b 6.466
_cell_length_c 6.466
_cell_angle_alpha 90.00
_cell_angle_beta 90.00
_cell_angle_gamma 90.00
loop_
_atom_site_label
_atom_site_type_symbol
_atom_site_fract_x
_atom_site_fract_y
_atom_site_fract_z
Sc1 Sc 0.000 0.000 0.000
Ti1 Ti 0.250 0.250 0.750
Nb1 Nb 0.250 0.250 0.250
Os1 Os 0.000 0.000 0.500
# - D(E_F) (states/eV/f.u.) = 5.8
# - calculated volume (Å³ per atom) = 16.89
# - total moment (μB/cell) = 0.00
# - total energy (eV per atom) = -9.0485
# - ΔH_f (0 K) (eV per atom) = -0.167

[11]
# Na8TlHg5 PBE-GGA relaxed
data_Na8TlHg5
_chemical_formula_sum 'Na16 Tl2 Hg10'
_symmetry_space_group_name_H-M 'I -4'
_symmetry_Int_Tables_number 82
_cell_length_a 9.292
_cell_length_b 9.292
_cell_length_c 9.346
_cell_angle_alpha 90.00
_cell_angle_beta 90.00
_cell_angle_gamma 90.00
loop_
_symmetry_equiv_pos_as_xyz
'x,y,z'
'y,-x,-z'
'-x,-y,z'
'-y,x,-z'
'x+1/2,y+1/2,z+1/2'
'y+1/2,-x+1/2,-z+1/2'
'-x+1/2,-y+1/2,z+1/2'
'-y+1/2,x+1/2,-z+1/2'
loop_
_atom_site_label
_atom_site_type_symbol
_atom_site_fract_x
_atom_site_fract_y
_atom_site_fract_z
Na1 Na 0.077 0.173 0.313
Na2 Na 0.080 0.333 0.964
Tl1 Tl 0.000 0.000 0.000
Hg1 Hg 0.000 0.500 0.250
Hg2 Hg 0.126 0.258 0.642
# - D(E_F) (states/eV/f.u.) = 8.3
# - calculated volume (Å³ per atom) = 28.82
# - total moment (μB/cell) = 0.00
# - total energy (eV per atom) = -1.1865
# - ΔH_f (0 K) (eV per atom) = -0.156

[12]
# Sr2CeDyBi4 PBE-GGA relaxed
data_Sr2CeDyBi4
_chemical_formula_sum 'Sr2 Ce1 Dy1 Bi4'
_symmetry_space_group_name_H-M 'P 1 2/m 1'
_symmetry_Int_Tables_number 10
_cell_length_a 8.041
_cell_length_b 4.658
_cell_length_c 8.206
_cell_angle_alpha 90.00
_cell_angle_beta 109.26
_cell_angle_gamma 90.00
loop_
_symmetry_equiv_pos_as_xyz
'x,y,z'
'-x,-y,-z'
'-x,y,-z'
'x,-y,z'
loop_
_atom_site_label
_atom_site_type_symbol
_atom_site_fract_x
_atom_site_fract_y
_atom_site_fract_z
Sr1 Sr 0.000 0.000 0.000
Sr2 Sr 0.500 0.500 0.000
Ce1 Ce 0.000 0.500 0.500
Dy1 Dy 0.500 0.000 0.500
Bi1 Bi 0.242 0.000 0.725
Bi2 Bi 0.260 0.500 0.275
# - D(E_F) (states/eV/f.u.) = 6.3
# - calculated volume (Å³ per atom) = 36.26
# - total moment (μB/cell) = 0.00
# - total energy (eV per atom) = -4.4651
# - ΔH_f (0 K) (eV per atom) = -0.787

Question: Look up the total moment of the first one.
Answer: 0.00 μB/cell